a | Compound: Y3Ho4Th
Source: Alexandria via LeMat-Bulk
Functional: PBE-GGA
Structure: relaxed

Geometry as CIF:
```
data_Y3Ho4Th
_cell_length_a 11.7531
_cell_length_b 13.2750
_cell_length_c 3.3717
_cell_angle_alpha 90.00
_cell_angle_beta 90.00
_cell_angle_gamma 90.00
_symmetry_space_group_name_H-M 'C m m m'
_symmetry_Int_Tables_number 65
_symmetry_space_group_name_Hall '-C 2 2'
loop_
_atom_site_label
_atom_site_fract_x
_atom_site_fract_y
_atom_site_fract_z
Y1 0.0000 0.0000 0.0000
Y2 0.2500 0.2500 0.5000
Ho1 0.0000 0.2508 0.0000
Ho2 0.2422 0.5000 0.5000
Th1 0.0000 0.5000 0.0000
```

***

b | Compound: Y3Ho4Th
Source: Alexandria via LeMat-Bulk
Functional: PBE-GGA
Structure: relaxed

Geometry as CIF:
```
data_Y3Ho4Th
_cell_length_a 23.3518
_cell_length_b 3.4403
_cell_length_c 6.7247
_cell_angle_alpha 90.00
_cell_angle_beta 106.73
_cell_angle_gamma 90.00
_symmetry_space_group_name_H-M 'C 1 2/m 1'
_symmetry_Int_Tables_number 12
_symmetry_space_group_name_Hall '-C 2y'
loop_
_atom_site_label
_atom_site_fract_x
_atom_site_fract_y
_atom_site_fract_z
Y1 0.0000 0.0000 0.0000
Y2 0.1253 0.0000 0.8649
Ho1 0.1240 0.0000 0.3839
Ho2 0.2414 0.5000 0.7362
Th1 0.0000 0.5000 0.5000
```

***

Compare the structures above. Which one is the most stable? b is.